# 1
# Pa2NiB2Ru5, relaxed, DFT GGA-PBE
data_Pa2NiB2Ru5
_chemical_formula_sum 'Pa4 Ni2 B4 Ru10'
_symmetry_space_group_name_H-M 'P 1'
_symmetry_Int_Tables_number 1
_cell_length_a 3.247
_cell_length_b 9.397
_cell_length_c 9.397
_cell_angle_alpha 90.00
_cell_angle_beta 90.00
_cell_angle_gamma 90.00
loop_
_symmetry_equiv_pos_as_xyz
'x,y,z'
loop_
_atom_site_label
_atom_site_fract_x
_atom_site_fract_y
_atom_site_fract_z
Pa1 0.000 0.678 0.178
Pa2 0.000 0.322 0.822
Pa3 0.000 0.178 0.322
Pa4 0.000 0.822 0.678
Ni1 0.000 0.000 0.000
Ni2 0.000 0.500 0.500
B1 0.000 0.122 0.622
B2 0.000 0.878 0.378
B3 0.000 0.622 0.878
B4 0.000 0.378 0.122
Ru1 0.500 0.217 0.072
Ru2 0.500 0.783 0.928
Ru3 0.500 0.072 0.783
Ru4 0.500 0.717 0.428
Ru5 0.500 0.928 0.217
Ru6 0.500 0.283 0.572
Ru7 0.500 0.572 0.717
Ru8 0.500 0.428 0.283
Ru9 0.500 0.500 0.000
Ru10 0.500 0.000 0.500
# - density of states at the Fermi level (states/eV/atom) = 0.903
# - VASP energy (hartree per atom) = -0.3275
# - total magnetization (μB/f.u.) = 0.0
# - volume (Å³ per cell) = 286.7
# - energy relative to the elements (eV/atom) = -0.460

---

# 2
# Ce4YBi5, relaxed, DFT GGA-PBE
data_Ce4YBi5
_chemical_formula_sum 'Ce4 Y1 Bi5'
_symmetry_space_group_name_H-M 'P 1'
_symmetry_Int_Tables_number 1
_cell_length_a 4.580
_cell_length_b 6.480
_cell_length_c 12.114
_cell_angle_alpha 105.51
_cell_angle_beta 100.90
_cell_angle_gamma 90.00
loop_
_symmetry_equiv_pos_as_xyz
'x,y,z'
loop_
_atom_site_label
_atom_site_fract_x
_atom_site_fract_y
_atom_site_fract_z
Ce1 0.400 0.400 0.801
Ce2 0.802 0.802 0.603
Ce3 0.198 0.198 0.397
Ce4 0.600 0.600 0.199
Y1 0.000 0.000 0.000
Bi1 0.598 0.098 0.195
Bi2 0.800 0.300 0.599
Bi3 0.200 0.700 0.401
Bi4 0.000 0.500 0.000
Bi5 0.402 0.902 0.805
# - density of states at the Fermi level (states/eV/atom) = 2.561
# - VASP energy (hartree per atom) = -0.2121
# - total magnetization (μB/f.u.) = 3.6
# - volume (Å³ per cell) = 339.7
# - energy relative to the elements (eV/atom) = -0.810

---

# 3
# Pr2Sm2DyEr, relaxed, DFT GGA-PBE
data_Pr2Sm2DyEr
_chemical_formula_sum 'Pr4 Sm4 Dy2 Er2'
_symmetry_space_group_name_H-M 'P 1'
_symmetry_Int_Tables_number 1
_cell_length_a 5.713
_cell_length_b 7.088
_cell_length_c 9.904
_cell_angle_alpha 90.00
_cell_angle_beta 90.00
_cell_angle_gamma 90.00
loop_
_symmetry_equiv_pos_as_xyz
'x,y,z'
loop_
_atom_site_label
_atom_site_fract_x
_atom_site_fract_y
_atom_site_fract_z
Pr1 0.500 0.008 0.000
Pr2 0.000 0.258 0.178
Pr3 0.500 0.508 0.000
Pr4 0.000 0.758 0.822
Sm1 0.000 0.258 0.836
Sm2 0.500 0.258 0.332
Sm3 0.000 0.758 0.164
Sm4 0.500 0.758 0.668
Dy1 0.500 0.258 0.659
Dy2 0.500 0.758 0.341
Er1 0.000 0.008 0.500
Er2 0.000 0.508 0.500
# - density of states at the Fermi level (states/eV/atom) = 1.500
# - VASP energy (hartree per atom) = -0.1703
# - total magnetization (μB/f.u.) = 0.0
# - volume (Å³ per cell) = 401.1
# - energy relative to the elements (eV/atom) = 0.060

---

# 4
# K3Dy2AlS6, relaxed, DFT GGA-PBE
data_K3Dy2AlS6
_chemical_formula_sum 'K3 Dy2 Al1 S6'
_symmetry_space_group_name_H-M 'P 1'
_symmetry_Int_Tables_number 1
_cell_length_a 6.809
_cell_length_b 6.809
_cell_length_c 7.695
_cell_angle_alpha 98.53
_cell_angle_beta 98.53
_cell_angle_gamma 120.02
loop_
_symmetry_equiv_pos_as_xyz
'x,y,z'
loop_
_atom_site_label
_atom_site_fract_x
_atom_site_fract_y
_atom_site_fract_z
K1 0.171 0.829 0.500
K2 0.829 0.171 0.500
K3 0.500 0.500 0.500
Dy1 0.334 0.666 0.000
Dy2 0.666 0.334 0.000
Al1 0.000 0.000 0.000
S1 0.936 0.628 0.807
S2 0.758 0.758 0.194
S3 0.064 0.372 0.193
S4 0.628 0.936 0.807
S5 0.242 0.242 0.806
S6 0.372 0.064 0.193
# - density of states at the Fermi level (states/eV/atom) = 0.000
# - VASP energy (hartree per atom) = -0.1844
# - total magnetization (μB/f.u.) = 0.0
# - volume (Å³ per cell) = 295.0
# - E_form (uncorrected) (eV per atom) = -1.60

---

# 5
# ZrGa2Pd2, relaxed, DFT GGA-PBE
data_ZrGa2Pd2
_chemical_formula_sum 'Zr2 Ga4 Pd4'
_symmetry_space_group_name_H-M 'P 1'
_symmetry_Int_Tables_number 1
_cell_length_a 7.593
_cell_length_b 7.593
_cell_length_c 2.870
_cell_angle_alpha 90.00
_cell_angle_beta 90.00
_cell_angle_gamma 90.00
loop_
_symmetry_equiv_pos_as_xyz
'x,y,z'
loop_
_atom_site_label
_atom_site_fract_x
_atom_site_fract_y
_atom_site_fract_z
Ga1 0.368 0.868 0.000
Ga2 0.868 0.632 0.000
Ga3 0.632 0.132 0.000
Ga4 0.132 0.368 0.000
Zr1 0.000 0.000 0.000
Zr2 0.500 0.500 0.000
Pd1 0.165 0.665 0.500
Pd2 0.665 0.835 0.500
Pd3 0.835 0.335 0.500
Pd4 0.335 0.165 0.500
# - density of states at the Fermi level (states/eV/atom) = 0.807
# - VASP energy (hartree per atom) = -0.2039
# - total magnetization (μB/f.u.) = 0.0
# - volume (Å³ per cell) = 165.4
# - energy relative to the elements (eV/atom) = -0.552

---

# 6
# CaSiW2, relaxed, DFT GGA-PBE
data_CaSiW2
_chemical_formula_sum 'Ca1 Si1 W2'
_symmetry_space_group_name_H-M 'P 1'
_symmetry_Int_Tables_number 1
_cell_length_a 5.635
_cell_length_b 5.635
_cell_length_c 2.750
_cell_angle_alpha 78.18
_cell_angle_beta 78.18
_cell_angle_gamma 119.22
loop_
_symmetry_equiv_pos_as_xyz
'x,y,z'
loop_
_atom_site_label
_atom_site_fract_x
_atom_site_fract_y
_atom_site_fract_z
Ca1 0.500 0.000 0.500
Si1 0.000 0.500 0.500
W1 0.000 0.000 0.000
W2 0.500 0.500 0.000
# - density of states at the Fermi level (states/eV/atom) = 0.628
# - VASP energy (hartree per atom) = -0.2824
# - total magnetization (μB/f.u.) = 0.0
# - volume (Å³ per cell) = 69.7
# - E_form (uncorrected) (eV per atom) = 0.65